SbOs3O | the Alexandria database | PBE-GGA | optimized geometry; SG = No. 221; raw formation energy = 3.113 eV/atom
1.0
4.900 0.000 0.000
0.000 4.900 0.000
0.000 0.000 4.900
Sb Os O
1 3 1
direct
0.000 0.000 0.000
0.000 0.000 0.500
0.000 0.500 0.000
0.500 0.000 0.000
0.500 0.500 0.500